[1]
Sr3LiO PBEsol relaxed; formation energy (no corrections) = -1025 meV per atom; energy relative to the lowest polymorph listed for this composition = 0.000 eV/atom
1.0
5.255 0.000 0.000
0.000 5.255 0.000
0.000 0.000 5.255
Li Sr O
1 3 1
Cartesian
2.628 2.628 2.628
0.000 2.628 0.000
2.628 0.000 0.000
0.000 0.000 2.628
0.000 0.000 0.000

[2]
SrLi2Ta2O7 PBEsol relaxed; formation energy (no corrections) = -2825 meV per atom
1.0
3.947 0.000 0.000
0.000 3.947 0.000
-1.973 -1.973 9.063
O Ta Li Sr
7 2 2 1
Cartesian
1.973 1.973 0.000
0.000 1.973 7.172
1.973 1.973 3.967
1.973 0.000 7.172
0.000 1.973 1.891
1.973 0.000 1.891
0.000 0.000 5.095
1.973 1.973 2.085
0.000 0.000 6.978
0.000 1.973 4.531
1.973 0.000 4.531
0.000 0.000 0.000

[3]
SrLi2Ta2O7 PBEsol relaxed; formation energy (no corrections) = -2828 meV per atom
1.0
5.571 0.000 0.000
0.000 5.583 0.000
0.000 -2.792 9.030
O Li Ta Sr
14 4 4 2
Cartesian
2.785 0.000 1.709
2.785 2.792 2.076
2.785 2.792 7.321
4.178 -1.568 5.084
1.393 1.568 5.084
4.178 1.640 0.000
1.393 3.943 0.000
0.000 2.792 2.076
0.000 2.792 7.321
1.393 4.359 3.946
0.000 0.000 6.954
4.178 1.224 3.946
0.000 0.000 1.709
2.785 0.000 6.954
0.000 0.000 4.705
2.785 2.792 4.325
0.000 2.792 4.325
2.785 0.000 4.705
4.178 -1.416 6.952
4.178 1.375 2.078
1.393 1.416 6.952
1.393 4.208 2.078
1.393 1.425 0.000
4.178 4.158 0.000

[4]
Sr3Li6Ta2O11 PBEsol relaxed; formation energy (no corrections) = -2620 meV per atom
1.0
5.800 0.000 0.000
0.000 8.308 0.000
0.000 0.000 10.525
Ta Li O Sr
4 12 22 6
Cartesian
1.535 4.154 2.631
0.000 0.000 5.263
4.266 4.154 7.894
0.000 0.000 0.000
0.000 5.356 5.263
0.000 2.952 0.000
1.276 2.620 7.894
0.000 5.356 0.000
0.868 1.214 2.631
4.932 1.214 7.894
4.524 5.688 2.631
1.276 5.688 7.894
4.524 2.620 2.631
4.932 7.095 7.894
0.868 7.095 2.631
0.000 2.952 5.263
2.505 5.816 2.631
1.642 0.000 4.135
4.333 4.154 5.896
5.033 1.448 1.166
3.296 5.816 7.894
3.296 2.493 7.894
0.333 4.154 7.894
5.033 1.448 4.097
1.468 4.154 4.630
1.468 4.154 0.633
4.333 4.154 9.892
5.033 6.861 4.097
2.505 2.493 2.631
1.642 0.000 1.127
5.468 4.154 2.631
0.768 1.448 6.429
5.033 6.861 1.166
0.768 1.448 9.359
0.768 6.861 9.359
0.768 6.861 6.429
4.158 0.000 6.390
4.158 0.000 9.398
2.900 2.177 5.263
2.218 0.000 7.894
2.900 2.177 0.000
3.583 0.000 2.631
2.900 6.132 0.000
2.900 6.132 5.263

[5]
LiTa3O PBEsol relaxed; formation energy (no corrections) = -322 meV per atom
1.0
4.192 0.000 0.000
0.000 4.192 0.000
0.000 0.000 4.192
Li Ta O
1 3 1
Cartesian
2.096 2.096 2.096
0.000 0.000 2.096
0.000 2.096 0.000
2.096 0.000 0.000
0.000 0.000 0.000

[6]
LiTa3O8 PBEsol relaxed; formation energy (no corrections) = -2773 meV per atom; energy relative to the lowest polymorph listed for this composition = 0.023 eV/atom
1.0
3.889 0.000 0.000
0.000 8.958 0.000
0.000 0.000 16.932
O Ta Li
32 12 4
Cartesian
0.000 5.612 10.739
1.944 5.496 6.260
1.944 1.188 11.461
1.944 4.015 4.233
0.000 8.412 12.699
1.944 2.985 8.084
1.944 3.463 14.726
0.000 3.346 6.193
0.000 1.536 15.829
1.944 5.974 8.848
1.944 5.496 2.206
1.944 0.000 8.466
0.000 2.853 12.699
1.944 5.974 16.550
1.944 0.000 0.000
1.944 2.985 0.382
1.944 7.382 11.181
0.000 7.422 7.363
1.944 7.770 5.471
0.000 1.536 9.569
1.944 1.577 5.751
1.944 3.463 10.672
1.944 7.382 14.217
1.944 1.577 2.715
1.944 7.770 2.995
1.944 4.944 12.699
0.000 5.612 14.659
0.000 0.547 4.233
0.000 7.422 1.103
0.000 6.105 4.233
0.000 3.346 2.273
1.944 1.188 13.937
1.944 6.083 4.233
1.944 0.380 4.233
1.944 3.556 2.217
1.944 3.556 6.249
1.944 7.282 7.465
1.944 5.402 14.715
1.944 2.876 12.699
1.944 1.676 9.467
1.944 7.282 1.001
1.944 5.402 10.683
1.944 8.578 12.699
1.944 1.676 15.931
0.000 7.587 14.642
0.000 1.372 2.290
0.000 1.372 6.176
0.000 7.587 10.756

[7]
LiTa3O8 PBEsol relaxed; formation energy (no corrections) = -2796 meV per atom; energy relative to the lowest polymorph listed for this composition = 0.000 eV/atom
1.0
5.046 0.006 0.008
-0.078 7.448 0.009
-0.078 -1.513 7.293
Li Ta O
2 6 16
Cartesian
3.707 6.037 1.166
1.183 -0.095 6.144
1.166 3.739 6.167
3.707 1.445 4.898
3.689 5.276 4.924
3.724 2.203 1.144
1.201 0.666 2.386
1.183 4.497 2.412
2.845 3.201 5.088
4.459 -0.434 5.012
2.045 2.741 2.222
2.078 0.691 4.102
2.829 0.418 1.425
4.584 4.635 6.614
2.954 0.950 6.715
0.306 1.307 0.697
0.322 4.323 4.169
2.061 5.524 5.885
1.936 4.992 0.595
4.568 1.619 3.142
4.601 3.878 1.519
0.289 2.064 5.791
0.431 6.376 2.298
2.812 5.251 3.208

[8]
LiTbO2 PBEsol relaxed; formation energy (no corrections) = -2957 meV per atom
1.0
-1.778 -0.079 2.862
3.669 -3.076 2.194
5.425 9.055 3.621
O Li Tb
8 4 4
Cartesian
4.842 8.017 6.206
5.132 2.457 4.248
2.805 0.483 4.732
4.512 5.417 3.945
2.185 3.442 4.429
1.372 1.248 1.879
5.945 4.652 6.798
2.476 -2.118 2.471
2.989 4.819 2.982
1.400 -0.651 1.844
4.329 1.080 5.695
5.917 6.551 6.833
3.168 1.849 3.011
4.149 4.051 5.665
2.921 -1.721 4.743
4.396 7.621 3.934

[9]
Li6Tb2O7 PBEsol relaxed; formation energy (no corrections) = -2223 meV per atom
1.0
-5.053 1.138 -2.912
-1.661 -5.899 0.577
-3.220 1.638 7.478
O Li Tb
14 12 4
Cartesian
-6.430 -2.054 6.639
-2.370 -3.150 2.671
-5.278 -3.938 1.348
-3.504 -1.068 -1.495
-0.830 -2.949 0.288
-4.655 0.815 3.796
-0.821 -1.081 -0.094
-5.189 -2.176 4.013
-9.113 -2.042 5.238
-8.123 -3.054 2.699
-2.526 0.569 -1.456
-7.564 0.027 2.473
-1.811 -0.069 2.445
-4.745 -0.947 1.130
-4.136 0.321 -0.266
-3.704 0.334 2.083
-7.916 -1.427 3.812
-2.633 0.455 4.122
-6.588 -0.370 0.752
-5.798 -3.444 5.410
-3.345 -2.753 4.392
-6.230 -3.456 3.060
-2.017 -1.696 1.331
-4.301 -2.464 2.313
-5.633 -0.659 2.831
-7.301 -3.578 1.021
-3.022 -4.825 1.139
-5.047 -2.474 -0.492
-6.911 1.702 4.005
-4.887 -0.649 5.635

[10]
LiTcO3 PBEsol relaxed; formation energy (no corrections) = -1611 meV per atom
1.0
-0.990 2.849 2.294
-3.229 0.436 -1.935
-1.719 -2.460 2.314
O Li Tc
3 1 1
Cartesian
-0.495 1.425 1.147
-0.859 -1.230 1.157
-1.614 0.218 -0.967
-2.969 0.413 1.336
0.000 0.000 0.000

[11]
LiTcO3 PBEsol relaxed; formation energy (no corrections) = -100 meV per atom
1.0
-1.574 1.430 -2.684
-3.024 -1.057 1.211
-0.323 2.927 1.748
Li O Tc
1 3 1
Cartesian
0.000 0.000 0.000
-1.512 -0.528 0.605
-0.161 1.463 0.874
-0.787 0.715 -1.342
-2.460 1.650 0.138

[12]
Li8Te2O9 PBEsol relaxed; formation energy (no corrections) = -1753 meV per atom
1.0
-1.616 -4.743 3.183
4.162 0.311 8.014
-12.544 5.441 7.276
Te Li O
8 32 36
Cartesian
-4.623 3.313 12.077
-7.041 1.875 8.739
-9.616 3.588 10.032
-2.035 -1.534 3.684
-0.381 -2.579 8.441
-5.374 -2.304 6.396
-2.956 -0.866 9.734
-7.962 2.543 14.790
-11.817 4.916 8.401
-8.120 -0.615 10.082
-5.015 0.743 10.701
-7.292 4.777 12.978
-9.095 3.119 7.007
-7.632 2.420 11.820
-0.159 0.100 9.971
-4.983 0.266 7.772
-3.269 -0.568 12.675
0.033 -2.875 5.460
-6.729 1.578 5.798
-5.894 -1.789 9.357
-10.728 1.382 14.536
-10.031 3.885 13.013
-4.104 2.799 9.116
-7.649 -0.746 7.419
0.190 -0.284 6.640
-2.706 -3.767 5.496
-9.839 0.909 8.502
-2.366 -1.411 6.653
-12.365 2.601 9.813
-1.524 1.140 4.941
-1.877 1.624 8.391
-8.474 -0.131 13.532
-10.188 1.293 11.833
-2.348 1.755 11.054
-0.902 -2.110 11.467
1.820 -3.906 10.073
2.367 -1.592 8.661
-5.212 0.973 13.867
-4.785 0.036 4.607
0.730 -0.373 3.937
-1.576 -3.158 7.029
-0.724 -1.007 2.344
-11.919 0.629 12.965
-1.350 -3.364 3.868
-1.755 -3.043 9.798
-3.056 0.634 3.512
-8.243 4.053 8.675
0.726 -1.903 9.878
-4.819 -1.054 13.990
-1.740 -0.297 11.131
-8.956 1.843 13.289
-3.887 -1.994 5.161
-6.111 3.003 13.312
-4.397 -1.256 11.020
-3.983 1.491 12.350
-5.600 2.265 7.453
1.922 0.380 5.508
-5.179 2.063 4.484
-5.751 2.665 10.624
1.008 -2.143 7.157
-8.421 4.167 11.445
-6.490 0.052 9.172
-3.507 0.958 9.302
-8.257 1.306 7.343
-9.355 -1.071 8.737
-9.274 2.016 16.129
-8.647 4.373 14.605
-8.944 1.727 10.259
-0.643 2.080 9.736
-6.942 0.375 14.961
-6.014 -0.482 6.124
-10.723 2.912 8.596
-1.054 -0.718 8.215
-11.005 3.152 11.316
-4.247 -1.656 7.850
-1.041 -0.833 5.185

Theoretical density for every record listed, in sequence, given in Mg/m³: 3.3; 6.8; 6.8; 5.5; 12.8; 7.6; 8.2; 6.6; 5.2; 4.7; 6.3; 3.9.